[1]
{"formula": "Cr2ReH", "functional": "PBE", "state": "relaxed", "cell": [[-2.4660, 2.4660, 3.4785], [2.4660, -2.4660, 3.4785], [2.4660, 2.4660, -3.4785]], "species": ["Cr", "Cr", "Cr", "Cr", "Re", "Re", "H", "H"], "fractional_positions": [[0.0000, 0.0000, 0.0000], [0.0000, 0.0000, 0.5000], [0.0000, 0.5000, 0.0000], [0.5000, 0.0000, 0.5000], [0.3750, 0.6250, 0.7500], [0.6250, 0.3750, 0.2500], [0.1250, 0.8750, 0.2500], [0.8750, 0.1250, 0.7500]], "energy_ev_per_atom": -8.36}

---

[2]
{"formula": "CrRe2H", "functional": "PBE", "state": "relaxed", "cell": [[0.0000, 2.8820, 2.8820], [2.8820, 0.0000, 2.8820], [2.8820, 2.8820, 0.0000]], "species": ["Cr", "Re", "Re", "H"], "fractional_positions": [[0.0000, 0.0000, 0.0000], [0.2500, 0.2500, 0.2500], [0.7500, 0.7500, 0.7500], [0.5000, 0.5000, 0.5000]], "energy_ev_per_atom": -8.76}

---

[3]
{"formula": "CrReH3", "functional": "PBE", "state": "relaxed", "cell": [[3.2771, 0.0000, 0.0000], [0.0000, 3.2771, 0.0000], [0.0000, 0.0000, 3.2771]], "species": ["Cr", "Re", "H", "H", "H"], "fractional_positions": [[0.0000, 0.0000, 0.0000], [0.5000, 0.5000, 0.5000], [0.0000, 0.0000, 0.5000], [0.0000, 0.5000, 0.0000], [0.5000, 0.0000, 0.0000]], "energy_ev_per_atom": -5.87}

---

[4]
{"formula": "CrReH2", "functional": "PBE", "state": "relaxed", "cell": [[-2.0155, 2.0155, 4.0492], [2.0155, -2.0155, 4.0492], [2.0155, 2.0155, -4.0492]], "species": ["Cr", "Cr", "Re", "Re", "H", "H", "H", "H"], "fractional_positions": [[0.0000, 0.0000, 0.0000], [0.7500, 0.2500, 0.5000], [0.2500, 0.7500, 0.5000], [0.5000, 0.5000, 0.0000], [0.0999, 0.6250, 0.9749], [0.3750, 0.3499, 0.4749], [0.6501, 0.1250, 0.0251], [0.8750, 0.9001, 0.5251]], "energy_ev_per_atom": -6.97}

---

[5]
{"formula": "Cr3ReH", "functional": "PBE", "state": "relaxed", "cell": [[4.7257, 0.0000, 0.0000], [0.0000, 4.7257, 0.0000], [0.0000, 0.0000, 4.7257]], "species": ["Cr", "Cr", "Cr", "Re", "H"], "fractional_positions": [[0.0000, 0.0000, 0.5000], [0.0000, 0.5000, 0.0000], [0.5000, 0.0000, 0.0000], [0.0000, 0.0000, 0.0000], [0.5000, 0.5000, 0.5000]], "energy_ev_per_atom": -7.06}

---

[6]
{"formula": "Cr2ReH", "functional": "PBE", "state": "relaxed", "cell": [[1.8857, 1.0887, 5.4702], [-1.8857, 1.0887, 5.4702], [0.0000, -2.1774, 5.4702]], "species": ["Cr", "Cr", "Re", "H"], "fractional_positions": [[0.1032, 0.1032, 0.1032], [0.8968, 0.8968, 0.8968], [0.5000, 0.5000, 0.5000], [0.0000, 0.0000, 0.0000]], "energy_ev_per_atom": -7.72}

---

[7]
{"formula": "CrReH2", "functional": "PBE", "state": "relaxed", "cell": [[1.4057, 0.8116, 4.7225], [-1.4057, 0.8116, 4.7225], [0.0000, -1.6231, 4.7225]], "species": ["Cr", "Re", "H", "H"], "fractional_positions": [[0.0000, 0.0000, 0.0000], [0.5000, 0.5000, 0.5000], [0.3746, 0.3746, 0.3746], [0.6254, 0.6254, 0.6254]], "energy_ev_per_atom": -7.04}

---

[8]
{"formula": "Cr2ReH", "functional": "PBE", "state": "relaxed", "cell": [[0.0000, 2.8715, 2.8715], [2.8715, 0.0000, 2.8715], [2.8715, 2.8715, 0.0000]], "species": ["Cr", "Cr", "Re", "H"], "fractional_positions": [[0.2500, 0.2500, 0.2500], [0.7500, 0.7500, 0.7500], [0.0000, 0.0000, 0.0000], [0.5000, 0.5000, 0.5000]], "energy_ev_per_atom": -7.99}

---

[9]
{"formula": "CrReHRh2", "functional": "PBE", "state": "relaxed", "cell": [[3.7926, 0.0000, 0.0000], [0.0000, 3.7926, 0.0000], [0.0000, 0.0000, 3.9578]], "species": ["Cr", "Re", "H", "Rh", "Rh"], "fractional_positions": [[0.0000, 0.0000, 0.0000], [0.5000, 0.5000, 0.0000], [0.0000, 0.0000, 0.5000], [0.0000, 0.5000, 0.5000], [0.5000, 0.0000, 0.5000]], "energy_ev_per_atom": -8.02}

---

[10]
{"formula": "CrReHRh2", "functional": "PBE", "state": "relaxed", "cell": [[3.8231, 0.0000, 0.0000], [0.0000, 3.8231, 0.0000], [0.0000, 0.0000, 3.9789]], "species": ["Cr", "Re", "H", "Rh", "Rh"], "fractional_positions": [[0.0000, 0.0000, 0.0000], [0.5000, 0.5000, 0.0000], [0.5000, 0.5000, 0.5000], [0.0000, 0.5000, 0.5000], [0.5000, 0.0000, 0.5000]], "energy_ev_per_atom": -8.00}

---

[11]
{"formula": "CrRe2HRu", "functional": "PBE", "state": "relaxed", "cell": [[3.8954, 0.0000, 0.0000], [0.0000, 3.8954, 0.0000], [0.0000, 0.0000, 3.8351]], "species": ["Cr", "Re", "Re", "H", "Ru"], "fractional_positions": [[0.0000, 0.0000, 0.0000], [0.0000, 0.5000, 0.5000], [0.5000, 0.0000, 0.5000], [0.0000, 0.0000, 0.5000], [0.5000, 0.5000, 0.0000]], "energy_ev_per_atom": -9.29}

---

[12]
{"formula": "CrRe2HRu", "functional": "PBE", "state": "relaxed", "cell": [[3.8926, 0.0000, 0.0000], [0.0000, 3.8926, 0.0000], [0.0000, 0.0000, 3.8563]], "species": ["Cr", "Re", "Re", "H", "Ru"], "fractional_positions": [[0.0000, 0.0000, 0.0000], [0.0000, 0.5000, 0.5000], [0.5000, 0.0000, 0.5000], [0.5000, 0.5000, 0.5000], [0.5000, 0.5000, 0.0000]], "energy_ev_per_atom": -9.25}

---

[13]
{"formula": "CrReSiH2", "functional": "PBE", "state": "relaxed", "cell": [[3.3896, 0.0000, 0.0000], [0.0000, 3.3896, 0.0000], [0.0000, 0.0000, 4.7420]], "species": ["Cr", "Re", "Si", "H", "H"], "fractional_positions": [[0.0000, 0.0000, 0.0000], [0.5000, 0.5000, 0.5000], [0.5000, 0.5000, 0.0000], [0.0000, 0.5000, 0.5000], [0.5000, 0.0000, 0.5000]], "energy_ev_per_atom": -6.14}

---

[14]
{"formula": "Ta2CrReH", "functional": "PBE", "state": "relaxed", "cell": [[4.3939, 0.0000, 0.0000], [0.0000, 4.3939, 0.0000], [0.0000, 0.0000, 3.4495]], "species": ["Ta", "Ta", "Cr", "Re", "H"], "fractional_positions": [[0.0000, 0.5000, 0.0000], [0.5000, 0.0000, 0.0000], [0.0000, 0.0000, 0.5000], [0.5000, 0.5000, 0.5000], [0.5000, 0.5000, 0.0000]], "energy_ev_per_atom": -9.79}

---

[15]
{"formula": "Ta2CrReH", "functional": "PBE", "state": "relaxed", "cell": [[4.4713, 0.0000, 0.0000], [0.0000, 4.4713, 0.0000], [0.0000, 0.0000, 3.2560]], "species": ["Ta", "Ta", "Cr", "Re", "H"], "fractional_positions": [[0.0000, 0.5000, 0.0000], [0.5000, 0.0000, 0.0000], [0.0000, 0.0000, 0.5000], [0.5000, 0.5000, 0.5000], [0.0000, 0.0000, 0.0000]], "energy_ev_per_atom": -9.99}

---

[16]
{"formula": "Cr2ReTcH", "functional": "PBE", "state": "relaxed", "cell": [[3.8035, 0.0000, 0.0000], [0.0000, 3.8035, 0.0000], [0.0000, 0.0000, 3.8403]], "species": ["Cr", "Cr", "Re", "Tc", "H"], "fractional_positions": [[0.0000, 0.5000, 0.0000], [0.5000, 0.0000, 0.0000], [0.0000, 0.0000, 0.5000], [0.5000, 0.5000, 0.5000], [0.0000, 0.0000, 0.0000]], "energy_ev_per_atom": -8.93}

---

[17]
{"formula": "CrReTc2H", "functional": "PBE", "state": "relaxed", "cell": [[3.8772, 0.0000, 0.0000], [0.0000, 3.8772, 0.0000], [0.0000, 0.0000, 3.9052]], "species": ["Cr", "Re", "Tc", "Tc", "H"], "fractional_positions": [[0.0000, 0.0000, 0.0000], [0.5000, 0.5000, 0.0000], [0.0000, 0.5000, 0.5000], [0.5000, 0.0000, 0.5000], [0.5000, 0.5000, 0.5000]], "energy_ev_per_atom": -9.07}

---

[18]
{"formula": "CrRe2TcH", "functional": "PBE", "state": "relaxed", "cell": [[3.9146, 0.0000, 0.0000], [0.0000, 3.9146, 0.0000], [0.0000, 0.0000, 3.8377]], "species": ["Cr", "Re", "Re", "Tc", "H"], "fractional_positions": [[0.0000, 0.0000, 0.0000], [0.0000, 0.5000, 0.5000], [0.5000, 0.0000, 0.5000], [0.5000, 0.5000, 0.0000], [0.0000, 0.0000, 0.5000]], "energy_ev_per_atom": -9.50}

---

[19]
{"formula": "CrReTc2H", "functional": "PBE", "state": "relaxed", "cell": [[3.8878, 0.0000, 0.0000], [0.0000, 3.8878, 0.0000], [0.0000, 0.0000, 3.8475]], "species": ["Cr", "Re", "Tc", "Tc", "H"], "fractional_positions": [[0.0000, 0.0000, 0.0000], [0.5000, 0.5000, 0.0000], [0.0000, 0.5000, 0.5000], [0.5000, 0.0000, 0.5000], [0.0000, 0.0000, 0.5000]], "energy_ev_per_atom": -9.14}

---

[20]
{"formula": "Cr2ReTcH", "functional": "PBE", "state": "relaxed", "cell": [[3.8085, 0.0000, 0.0000], [0.0000, 3.8085, 0.0000], [0.0000, 0.0000, 3.8180]], "species": ["Cr", "Cr", "Re", "Tc", "H"], "fractional_positions": [[0.0000, 0.5000, 0.0000], [0.5000, 0.0000, 0.0000], [0.0000, 0.0000, 0.5000], [0.5000, 0.5000, 0.5000], [0.5000, 0.5000, 0.0000]], "energy_ev_per_atom": -8.96}

---

[21]
{"formula": "Ti2CrReH", "functional": "PBE", "state": "relaxed", "cell": [[4.3070, 0.0000, 0.0000], [0.0000, 4.3070, 0.0000], [0.0000, 0.0000, 3.2618]], "species": ["Ti", "Ti", "Cr", "Re", "H"], "fractional_positions": [[0.0000, 0.5000, 0.0000], [0.5000, 0.0000, 0.0000], [0.0000, 0.0000, 0.5000], [0.5000, 0.5000, 0.5000], [0.0000, 0.0000, 0.0000]], "energy_ev_per_atom": -8.46}

---

[22]
{"formula": "VCr2ReH", "functional": "PBE", "state": "relaxed", "cell": [[3.6667, 0.0000, 0.0000], [0.0000, 3.6667, 0.0000], [0.0000, 0.0000, 4.0330]], "species": ["V", "Cr", "Cr", "Re", "H"], "fractional_positions": [[0.0000, 0.0000, 0.0000], [0.0000, 0.5000, 0.5000], [0.5000, 0.0000, 0.5000], [0.5000, 0.5000, 0.0000], [0.0000, 0.0000, 0.5000]], "energy_ev_per_atom": -8.73}

---

[23]
{"formula": "CrRe2HW", "functional": "PBE", "state": "relaxed", "cell": [[3.9701, 0.0000, 0.0000], [0.0000, 3.9701, 0.0000], [0.0000, 0.0000, 3.8358]], "species": ["Cr", "Re", "Re", "H", "W"], "fractional_positions": [[0.0000, 0.0000, 0.0000], [0.0000, 0.5000, 0.5000], [0.5000, 0.0000, 0.5000], [0.0000, 0.0000, 0.5000], [0.5000, 0.5000, 0.0000]], "energy_ev_per_atom": -9.98}

---

[24]
{"formula": "Zr2CrReH", "functional": "PBE", "state": "relaxed", "cell": [[4.6313, 0.0000, 0.0000], [0.0000, 4.6313, 0.0000], [0.0000, 0.0000, 3.3897]], "species": ["Zr", "Zr", "Cr", "Re", "H"], "fractional_positions": [[0.0000, 0.5000, 0.0000], [0.5000, 0.0000, 0.0000], [0.0000, 0.0000, 0.5000], [0.5000, 0.5000, 0.5000], [0.0000, 0.0000, 0.0000]], "energy_ev_per_atom": -8.61}

---

[25]
{"formula": "CrH4Rh4", "functional": "PBE", "state": "relaxed", "cell": [[-3.1720, 3.1720, 1.9684], [3.1720, -3.1720, 1.9684], [3.1720, 3.1720, -1.9684]], "species": ["Cr", "H", "H", "H", "H", "Rh", "Rh", "Rh", "Rh"], "fractional_positions": [[0.0000, 0.0000, 0.0000], [0.1084, 0.3067, 0.4151], [0.3067, 0.8916, 0.1984], [0.6933, 0.1084, 0.8016], [0.8916, 0.6933, 0.5849], [0.2066, 0.6018, 0.8084], [0.3982, 0.2066, 0.6048], [0.6018, 0.7934, 0.3952], [0.7934, 0.3982, 0.1916]], "energy_ev_per_atom": -5.84}

---

[26]
{"formula": "Cr2H4Rh3", "functional": "PBE", "state": "relaxed", "cell": [[2.7684, 0.0000, 0.0000], [-1.3842, 2.3975, 0.0000], [0.0000, 0.0000, 11.1393]], "species": ["Cr", "Cr", "H", "H", "H", "H", "Rh", "Rh", "Rh"], "fractional_positions": [[0.3333, 0.6667, 0.2030], [0.6667, 0.3333, 0.7970], [0.0000, 0.0000, 0.2877], [0.0000, 0.0000, 0.7123], [0.3333, 0.6667, 0.8820], [0.6667, 0.3333, 0.1180], [0.0000, 0.0000, 0.0000], [0.3333, 0.6667, 0.6021], [0.6667, 0.3333, 0.3979]], "energy_ev_per_atom": -6.10}

---

[27]
{"formula": "CrH2Rh2", "functional": "PBE", "state": "relaxed", "cell": [[2.7569, 0.0000, 0.0000], [-1.3785, 2.3876, 0.0000], [0.0000, 0.0000, 6.6905]], "species": ["Cr", "H", "H", "Rh", "Rh"], "fractional_positions": [[0.0000, 0.0000, 0.0000], [0.3333, 0.6667, 0.1422], [0.6667, 0.3333, 0.8578], [0.3333, 0.6667, 0.6702], [0.6667, 0.3333, 0.3298]], "energy_ev_per_atom": -6.23}

---

[28]
{"formula": "CrH4Rh5", "functional": "PBE", "state": "relaxed", "cell": [[6.0526, -1.4030, 0.0000], [6.0526, 1.4030, 0.0000], [-1.3153, 0.0000, 5.4352]], "species": ["Cr", "H", "H", "H", "H", "Rh", "Rh", "Rh", "Rh", "Rh"], "fractional_positions": [[0.0000, 0.0000, 0.0000], [0.1725, 0.1725, 0.1028], [0.4985, 0.4985, 0.7581], [0.5015, 0.5015, 0.2419], [0.8275, 0.8275, 0.8972], [0.0000, 0.0000, 0.5000], [0.3362, 0.3362, 0.6661], [0.3388, 0.3388, 0.1691], [0.6612, 0.6612, 0.8309], [0.6638, 0.6638, 0.3339]], "energy_ev_per_atom": -5.98}